Cr2BTeC | PBE-GGA | relaxed

Computed properties:
raw formation energy: 3.5 eV/f.u.

abc: 4.819 2.998 4.819
angles: 90.00 90.00 90.00
Site moments in Bohr magnetons follow the coordinates.
Fractional coordinates of all 5 atoms:
B: 0.000 0.000 0.000  -0.05
Te: 0.500 0.500 0.500  -0.10
Cr: 0.500 0.000 0.000  3.28
Cr: 0.000 0.000 0.500  3.43
C: 0.000 0.500 0.000  -0.06